1.
# MnHgW2

A geometry-optimized MnHgW2 structure (PBE-GGA, Alexandria via LeMat-Bulk).

It has space group P4/mmm (No. 123), with a = 2.866 Å, b = 2.866 Å, c = 7.751 Å, α = 90.00°, β = 90.00° and γ = 90.00°. The distinct sites, in fractional coordinates, are Mn at (0.000, 0.000, 0.000), Hg at (0.000, 0.000, 0.500) and W at (0.500, 0.500, 0.203).

The total moment is 0.0 μB per formula unit. The value obtained for the mass density is 16.25 g/cm3. As for the energy relative to the elements: 0.4761 eV/atom. The calculation puts the volume at 15.9 A^3/atom.

2.
# MnHgW2

A geometry-optimized MnHgW2 structure (PBE-GGA, Alexandria via LeMat-Bulk).

It has space group F-43m (No. 216), with a = 6.427 Å, b = 6.427 Å, c = 6.427 Å, α = 90.00°, β = 90.00° and γ = 90.00°. The distinct sites, in fractional coordinates, are Mn at (0.000, 0.000, 0.000), Hg at (0.250, 0.250, 0.250), W at (0.000, 0.000, 0.500) and W at (0.250, 0.250, 0.750).

The total moment is 3.2 μB per formula unit. The value obtained for the mass density is 15.59 g/cm3. As for the energy relative to the elements: 0.6561 eV/atom. The calculation puts the volume at 16.6 A^3/atom.

3.
# MnHg2W

A geometry-optimized MnHg2W structure (PBE-GGA, Alexandria via LeMat-Bulk).

It has space group Imm2 (No. 44), with a = 2.962 Å, b = 4.958 Å, c = 9.938 Å, α = 90.00°, β = 90.00° and γ = 90.00°. The distinct sites, in fractional coordinates, are Mn at (0.000, 0.000, 0.000), Hg at (0.000, 0.000, 0.465), Hg at (0.000, 0.500, 0.244) and W at (0.000, 0.500, 0.697).

The total moment is 2.2 μB per formula unit. The value obtained for the mass density is 14.56 g/cm3. As for the energy relative to the elements: 0.6675 eV/atom. The calculation puts the energy above the lowest structure with this stoichiometry at 0.83 eV/f.u. The calculation puts the volume at 18.2 A^3/atom.

4.
# MnHg2W

A geometry-optimized MnHg2W structure (PBE-GGA, Alexandria via LeMat-Bulk).

It has space group P4/mmm (No. 123), with a = 2.888 Å, b = 2.888 Å, c = 8.583 Å, α = 90.00°, β = 90.00° and γ = 90.00°. The distinct sites, in fractional coordinates, are Mn at (0.000, 0.000, 0.000), Hg at (0.500, 0.500, 0.240) and W at (0.000, 0.000, 0.500).

The total moment is 3.6 μB per formula unit. The value obtained for the mass density is 14.84 g/cm3. As for the energy relative to the elements: 0.6429 eV/atom. The calculation puts the energy above the lowest structure with this stoichiometry at 0.73 eV/f.u. The calculation puts the volume at 17.9 A^3/atom.

5.
# MnHg2W

A geometry-optimized MnHg2W structure (PBE-GGA, Alexandria via LeMat-Bulk).

It has space group Pm (No. 6), with a = 2.994 Å, b = 2.983 Å, c = 8.251 Å, α = 90.00°, β = 96.99° and γ = 90.00°. The distinct sites, in fractional coordinates, are Mn at (0.000, 0.000, 0.000), Hg at (0.573, 0.500, 0.246), Hg at (0.846, 0.000, 0.569) and W at (0.407, 0.500, 0.845).

The total moment is 0.0 μB per formula unit. The value obtained for the mass density is 14.53 g/cm3. As for the energy relative to the elements: 0.4595 eV/atom. The calculation puts the energy above the lowest structure with this stoichiometry at 0.00 eV/f.u. The calculation puts the volume at 18.3 A^3/atom.

6.
# MnHg2W

A geometry-optimized MnHg2W structure (PBE-GGA, Alexandria via LeMat-Bulk).

It has space group I-42d (No. 122), with a = 7.462 Å, b = 7.462 Å, c = 5.665 Å, α = 90.00°, β = 90.00° and γ = 90.00°. The distinct sites, in fractional coordinates, are Mn at (0.000, 0.000, 0.000), Hg at (0.240, 0.250, 0.125) and W at (0.000, 0.000, 0.500).

The total moment is 3.0 μB per formula unit. The value obtained for the mass density is 13.48 g/cm3. As for the energy relative to the elements: 1.0999 eV/atom. The calculation puts the energy above the lowest structure with this stoichiometry at 2.56 eV/f.u. The calculation puts the volume at 19.7 A^3/atom.

7.
# MnHg2W

A geometry-optimized MnHg2W structure (PBE-GGA, Alexandria via LeMat-Bulk).

It has space group Fm-3m (No. 225), with a = 6.466 Å, b = 6.466 Å, c = 6.466 Å, α = 90.00°, β = 90.00° and γ = 90.00°. The distinct sites, in fractional coordinates, are Mn at (0.000, 0.000, 0.000), Hg at (0.250, 0.250, 0.250) and W at (0.000, 0.000, 0.500).

The total moment is 0.0 μB per formula unit. The value obtained for the mass density is 15.73 g/cm3. As for the energy relative to the elements: 1.1034 eV/atom. The calculation puts the energy above the lowest structure with this stoichiometry at 2.58 eV/f.u. The calculation puts the volume at 16.9 A^3/atom.

8.
# MnHgW2

A geometry-optimized MnHgW2 structure (PBE-GGA, Alexandria via LeMat-Bulk).

It has space group Immm (No. 71), with a = 3.229 Å, b = 4.400 Å, c = 9.033 Å, α = 90.00°, β = 90.00° and γ = 90.00°. The distinct sites, in fractional coordinates, are Mn at (0.000, 0.000, 0.000), Hg at (0.000, 0.000, 0.500) and W at (0.000, 0.500, 0.268).

The total moment is 1.6 μB per formula unit. The value obtained for the mass density is 16.13 g/cm3. As for the energy relative to the elements: 0.5524 eV/atom. The calculation puts the volume at 16.0 A^3/atom.

9.
# MnHgW2

A geometry-optimized MnHgW2 structure (PBE-GGA, Alexandria via LeMat-Bulk).

It has space group Pm (No. 6), with a = 2.793 Å, b = 4.145 Å, c = 5.831 Å, α = 90.00°, β = 96.41° and γ = 90.00°. The distinct sites, in fractional coordinates, are Mn at (0.000, 0.000, 0.000), Hg at (0.470, 0.500, 0.745), W at (0.495, 0.500, 0.236) and W at (0.887, 0.000, 0.460).

The total moment is 3.0 μB per formula unit. The value obtained for the mass density is 15.43 g/cm3. As for the energy relative to the elements: 0.5289 eV/atom. The calculation puts the volume at 16.8 A^3/atom.

10.
# MnHg2W

A geometry-optimized MnHg2W structure (PBE-GGA, Alexandria via LeMat-Bulk).

It has space group Immm (No. 71), with a = 3.160 Å, b = 4.760 Å, c = 9.550 Å, α = 90.00°, β = 90.00° and γ = 90.00°. The distinct sites, in fractional coordinates, are Mn at (0.000, 0.000, 0.000), Hg at (0.000, 0.500, 0.262) and W at (0.000, 0.000, 0.500).

The total moment is 2.6 μB per formula unit. The value obtained for the mass density is 14.80 g/cm3. As for the energy relative to the elements: 0.7747 eV/atom. The calculation puts the energy above the lowest structure with this stoichiometry at 1.26 eV/f.u. The calculation puts the volume at 18.0 A^3/atom.

11.
# YMnHg

A geometry-optimized YMnHg structure (PBE-GGA, Alexandria via LeMat-Bulk).

It has space group R-3m (No. 166, hexagonal axes), with a = 3.7902 Å, b = 3.7902 Å, c = 32.8532 Å, α = 90.00°, β = 90.00° and γ = 120.00°. The distinct sites, in fractional coordinates, are Y at (0.0000, 0.0000, 0.0625), Mn at (0.0000, 0.0000, 0.3365) and Hg at (0.0000, 0.0000, 0.1999).

The total moment is 0.0 μB per formula unit. The value obtained for the mass density is 8.40 g/cm3. As for the energy relative to the elements: -0.1455 eV/atom. The calculation puts the volume at 22.7 A^3/atom.

12.
# Y2MnHg

A geometry-optimized Y2MnHg structure (PBE-GGA, Alexandria via LeMat-Bulk).

It has space group Imm2 (No. 44), with a = 3.578 Å, b = 5.044 Å, c = 10.881 Å, α = 90.00°, β = 90.00° and γ = 90.00°. The distinct sites, in fractional coordinates, are Y at (0.000, 0.000, 0.000), Y at (0.000, 0.500, 0.212), Mn at (0.000, 0.000, 0.459) and Hg at (0.000, 0.500, 0.761).

The total moment is 3.2 μB per formula unit. The value obtained for the mass density is 7.33 g/cm3. As for the energy relative to the elements: -0.0576 eV/atom. The calculation puts the volume at 24.5 A^3/atom.